The following is a PBE calculation of FeNi14P after structural relaxation, from the Alexandria database.

abc: 5.0082 5.0082 6.9273
angles: 90.00 90.00 90.00
Space group P4/mmm (No. 123)
One atom of each set of equivalent atoms:
Fe: 0.0000 0.0000 0.0000 x1
Ni: 0.0000 0.0000 0.5000 x1
Ni: 0.0000 0.5000 0.0000 x2
Ni: 0.0000 0.5000 0.5000 x2
Ni: 0.2525 0.2525 0.2467 x8
Ni: 0.5000 0.5000 0.5000 x1
P: 0.5000 0.5000 0.0000 x1

Properties
* E_tot: -5.996 eV/atom
* Fermi-level density of states: 1.597 states/eV/atom
* magnetization: 9.36 Bohr magnetons per cell